{"formula": "YHo2ErGa4", "functional": "PBE-GGA", "state": "optimized geometry", "space_group": "Amm2", "dft_energy_ev_per_atom": -4.676, "lattice_angstrom": [[6.602, 0.000, 0.000], [0.000, 4.329, 0.000], [0.000, 0.000, 13.173]], "species": ["Y", "Y", "Ho", "Ho", "Ho", "Ho", "Er", "Er", "Ga", "Ga", "Ga", "Ga", "Ga", "Ga", "Ga", "Ga"], "fractional_positions": [[0.000, 0.000, 0.000], [0.000, 0.500, 0.500], [0.000, 0.000, 0.724], [0.000, 0.500, 0.224], [0.500, 0.000, 0.170], [0.500, 0.500, 0.670], [0.500, 0.000, 0.894], [0.500, 0.500, 0.394], [0.197, 0.000, 0.349], [0.197, 0.500, 0.849], [0.304, 0.000, 0.545], [0.304, 0.500, 0.045], [0.696, 0.000, 0.545], [0.696, 0.500, 0.045], [0.803, 0.000, 0.349], [0.803, 0.500, 0.849]]}

{"formula": "ErLuGa2I2", "functional": "PBE-GGA", "state": "optimized geometry", "space_group": "P3m1", "dft_energy_ev_per_atom": -4.007, "lattice_angstrom": [[4.160, 0.000, 0.000], [-2.080, 3.603, 0.000], [0.000, 0.000, 12.028]], "species": ["Er", "Lu", "Ga", "Ga", "I", "I"], "fractional_positions": [[0.000, 0.000, 0.000], [0.000, 0.000, 0.329], [0.333, 0.667, 0.194], [0.667, 0.333, 0.136], [0.333, 0.667, 0.836], [0.667, 0.333, 0.493]]}

Which formula does entry 2 have?
ErLuGa2I2